Compound: LiPaBi2
Source: the Alexandria database
Functional: PBE
Structure: relaxed

Lattice parameters (Å, degrees): 3.380 3.380 9.301 90.00 90.00 90.00
Space group P4/mmm (No. 123)
One atom of each set of equivalent atoms:
Li: 0.000 0.000 0.000 x1
Pa: 0.000 0.000 0.500 x1
Bi: 0.500 0.500 0.236 x2

## Properties
As for the offset from the most stable computed form: 7.0 kJ/mol of atoms. Its energy is -4.98 eV per atom. As for the formation enthalpy at 0 K: -0.190 eV per atom. As for the crystal system: tetragonal. As for the magnetic moment: 1.1 μB/cell.

=====

Compound: RbTm2Ni
Source: the Alexandria database
Functional: PBE
Structure: relaxed

Lattice parameters (Å, degrees): 3.9923 3.9923 33.0349 90.00 90.00 120.00
Space group R-3m (No. 166, hexagonal axes)
One atom of each set of equivalent atoms:
Rb: 0.0000 0.0000 0.0000 x3
Tm: 0.0000 0.0000 0.1261 x6
Ni: 0.0000 0.0000 0.5000 x3

## Properties
Its energy is -3.89 eV per atom. As for the formation enthalpy at 0 K: 0.033 eV per atom. As for the crystal system: trigonal. As for the magnetic moment: 0.0 μB/cell.